[1]
The following is a DFT calculation (PBE) of a relaxed Li2YTcC crystal.

* calculated formation energy: 1237 kJ/mol of formula units
* total energy: -17.06 eV/cell

Cell lengths 5.288, 5.288, 4.782 Å; angles 90.00, 90.00, 90.00 degrees
Atoms (fractional coordinates):
Li (0.000, 0.500, 0.000)
Li (0.500, 0.000, 0.000)
Y (0.000, 0.000, 0.000)
Tc (0.000, 0.000, 0.500)
C (0.500, 0.500, 0.500)



[2]
The following is a DFT calculation (PBE) of a relaxed LiTeC2 crystal.

* total energy: -34.93 eV/cell
* E_form (uncorrected): 1.510 eV/atom

Cell lengths 5.857, 5.857, 5.857 Å; angles 127.35, 127.35, 77.68 degrees
Atoms (fractional coordinates):
Li (0.000, 0.000, 0.000)
Li (0.750, 0.250, 0.500)
Te (0.250, 0.750, 0.500)
Te (0.500, 0.500, 0.000)
C (0.140, 0.625, 0.015)
C (0.375, 0.390, 0.515)
C (0.610, 0.125, 0.985)
C (0.875, 0.860, 0.485)



[3]
The following is a DFT calculation (PBE) of a relaxed LiTe3C crystal.

* ΔE to the lowest computed polymorph: 0.000 eV per atom
* total energy: -17.06 eV/cell
* E_form (uncorrected): 0.700 eV/atom

Cell lengths 4.862, 4.862, 4.862 Å; angles 90.00, 90.00, 90.00 degrees
Atoms (fractional coordinates):
Li (0.000, 0.000, 0.000)
Te (0.000, 0.500, 0.500)
Te (0.500, 0.000, 0.500)
Te (0.500, 0.500, 0.000)
C (0.500, 0.500, 0.500)



> Look up the total energy of the first one.

-17.06 eV/cell



Please write out number 1 again, unchanged.
The following is a DFT calculation (PBE) of a relaxed Li2YTcC crystal.

* calculated formation energy: 1237 kJ/mol of formula units
* total energy: -17.06 eV/cell

Cell lengths 5.288, 5.288, 4.782 Å; angles 90.00, 90.00, 90.00 degrees
Atoms (fractional coordinates):
Li (0.000, 0.500, 0.000)
Li (0.500, 0.000, 0.000)
Y (0.000, 0.000, 0.000)
Tc (0.000, 0.000, 0.500)
C (0.500, 0.500, 0.500)